[1]
{"formula": "RbLaFeF2", "functional": "GGA-PBEsol", "state": "relaxed", "raw_formation_energy_ev_per_atom": -1.45, "dos_at_fermi_per_ev_cell": 3.990, "vol_a3_per_atom": 24.489, "space_group": "P4/mmm", "lattice_angstrom": [[4.7502, 0.0000, 0.0000], [0.0000, 4.7502, 0.0000], [0.0000, 0.0000, 5.4266]], "species": ["Rb", "La", "Fe", "F", "F"], "frac_coords": [[0.0000, 0.0000, 0.0000], [0.5000, 0.5000, 0.5000], [0.5000, 0.5000, 0.0000], [0.0000, 0.5000, 0.5000], [0.5000, 0.0000, 0.5000]]}

=====

[2]
{"formula": "Sc3C", "functional": "GGA-PBEsol", "state": "relaxed", "polymorph_energy_ev_per_atom": 0.027, "dos_at_fermi_per_ev_cell": 5.065, "vol_a3_per_atom": 19.476, "space_group": "Cmmm", "lattice_angstrom": [[2.2893, -5.2191, 0.0000], [2.2893, 5.2191, 0.0000], [0.0000, 0.0000, 3.2600]], "species": ["Sc", "Sc", "Sc", "C"], "frac_coords": [[0.0000, 0.0000, 0.0000], [0.3537, 0.6463, 0.5000], [0.6463, 0.3537, 0.5000], [0.5000, 0.5000, 0.0000]]}

=====

[3]
{"formula": "TlFeC2", "functional": "GGA-PBEsol", "state": "relaxed", "polymorph_energy_ev_per_atom": 1.334, "dos_at_fermi_per_ev_cell": 4.031, "vol_a3_per_atom": 11.414, "space_group": "Fm-3m", "lattice_angstrom": [[0.0000, 2.8367, 2.8367], [2.8367, 0.0000, 2.8367], [2.8367, 2.8367, 0.0000]], "species": ["Tl", "Fe", "C", "C"], "frac_coords": [[0.0000, 0.0000, 0.0000], [0.5000, 0.5000, 0.5000], [0.2500, 0.2500, 0.2500], [0.7500, 0.7500, 0.7500]]}

=====

[4]
{"formula": "FeCo", "functional": "GGA-PBEsol", "state": "relaxed", "dft_energy_ev_per_cell": -66.45, "dos_at_fermi_per_ev_cell": 7.625, "vol_a3_per_atom": 10.832, "space_group": "P2/c", "lattice_angstrom": [[2.4180, 0.0000, 0.0000], [0.0000, 7.8768, 0.0000], [-1.5973, 0.0000, 4.5498]], "species": ["Fe", "Fe", "Fe", "Fe", "Co", "Co", "Co", "Co"], "frac_coords": [[0.0000, 0.0000, 0.0000], [0.0000, 0.0000, 0.5000], [0.5000, 0.2521, 0.2500], [0.5000, 0.7479, 0.7500], [0.0000, 0.5000, 0.0000], [0.0000, 0.5000, 0.5000], [0.5000, 0.2501, 0.7500], [0.5000, 0.7499, 0.2500]]}